DFT (GGA+U) results for CsK2VF6 after structural relaxation.

Lattice parameters (Å, degrees): 6.6953 6.6953 6.6953 60.00 60.00 60.00
Fractional coordinates of all 10 atoms:
Cs (0.0000, 0.0000, 0.0000)
K (0.2500, 0.2500, 0.2500)
K (0.7500, 0.7500, 0.7500)
V (0.5000, 0.5000, 0.5000)
F (0.2914, 0.2914, 0.7086)
F (0.2914, 0.7086, 0.2914)
F (0.2914, 0.7086, 0.7086)
F (0.7086, 0.2914, 0.2914)
F (0.7086, 0.2914, 0.7086)
F (0.7086, 0.7086, 0.2914)

Output
* total moment: 2.0 Bohr magnetons per cell
* D(E_F): 10.9 states/eV/cell
* calculated total energy: -0.1796 Ha/atom